Model 1:
VASP calculation (PBE) on a relaxed structure of Ba2MoRu.

Summary:
**Symmetry**: P2/m

Structure (POSCAR):
```
Ba2MoRu
1.0
-0.791 2.016 -4.763
2.857 -1.394 -1.064
-0.560 -6.044 -2.465
Mo Ba Ru
1 2 1
Direct
0.500 0.250 0.250
0.000 0.908 0.995
0.000 0.592 0.505
0.500 0.750 0.750
```

Model 2:
VASP calculation (PBE) on a relaxed structure of Ba2MoRu.

Summary:
**Symmetry**: R-3m

Structure (POSCAR):
```
Ba2MoRu
1.0
10.143 -0.141 -0.083
9.563 3.385 -0.083
9.563 1.575 2.998
Mo Ba Ru
1 2 1
Direct
0.250 0.250 0.250
0.006 0.006 0.006
0.494 0.494 0.494
0.750 0.750 0.750
```

Model 3:
VASP calculation (PBE) on a relaxed structure of Ba2MoRu.

Summary:
**Symmetry**: C2/m

Structure (POSCAR):
```
Ba2MoRu
1.0
-5.268 0.623 -0.449
-4.688 -2.521 -0.108
-0.156 0.641 6.192
Ru Mo Ba
1 1 2
Direct
0.750 0.750 0.750
0.250 0.250 0.250
0.505 0.505 0.507
0.995 0.995 0.993
```

Out of the structures above, which one is the least stable? Solution: model 3.